A plane-wave DFT calculation with PBE-GGA was carried out for a relaxed TbThRh2 crystal.

Unit cell a=4.9662 b=4.9662 c=4.9662 alpha=60.00 beta=60.00 gamma=60.00
Positions (direct):
1 Tb 0.0000 0.0000 0.0000
2 Th 0.5000 0.5000 0.5000
3 Rh 0.2500 0.2500 0.2500
4 Rh 0.7500 0.7500 0.7500

Calculated values
Density of states at the Fermi level (states/eV/atom): 0.770
Spin magnetization (Bohr magnetons per cell): 0.00
Formation enthalpy at 0 K (eV/atom): -0.794
SG: Fm-3m (225)
V (Å³ per cell): 86.61



A plane-wave DFT calculation with PBE-GGA was carried out for a relaxed Tb3ThRh4 crystal.

Unit cell a=8.4949 b=8.4949 c=8.4949 alpha=33.75 beta=33.75 gamma=33.75
Positions (direct):
1 Tb 0.0000 0.0000 0.0000
2 Tb 0.2539 0.2539 0.2539
3 Tb 0.7461 0.7461 0.7461
4 Th 0.5000 0.5000 0.5000
5 Rh 0.1271 0.1271 0.1271
6 Rh 0.3785 0.3785 0.3785
7 Rh 0.6215 0.6215 0.6215
8 Rh 0.8729 0.8729 0.8729

Calculated values
Density of states at the Fermi level (states/eV/atom): 0.561
Spin magnetization (Bohr magnetons per cell): 0.00
Formation enthalpy at 0 K (eV/atom): -0.838
SG: R-3m (166)
V (Å³ per cell): 168.61



A plane-wave DFT calculation with PBE-GGA was carried out for a relaxed TbThRh crystal.

Unit cell a=6.3051 b=6.3051 c=6.8930 alpha=90.00 beta=90.00 gamma=144.84
Positions (direct):
1 Tb 0.0000 0.0000 0.0000
2 Tb 0.0000 0.0000 0.5000
3 Th 0.2861 0.7139 0.7500
4 Th 0.7139 0.2861 0.2500
5 Rh 0.3745 0.6255 0.2500
6 Rh 0.6255 0.3745 0.7500

Calculated values
Density of states at the Fermi level (states/eV/atom): 0.871
Spin magnetization (Bohr magnetons per cell): 0.00
Formation enthalpy at 0 K (eV/atom): -0.612
SG: Cmcm (63)
V (Å³ per cell): 157.82